No. 1
The following is a PBE calculation of crystalline Th2CoAg at its relaxed geometry, from Alexandria.

Cell lengths 3.478, 3.478, 7.751 Å; angles 90.00, 90.00, 90.00 degrees
Atoms (fractional coordinates):
Co1 0.500 0.500 0.000
Ag1 0.500 0.500 0.500
Th1 0.000 0.000 0.784
Th2 0.000 0.000 0.216

Calculated values
Calculated formation energy: -0.09 eV/atom
Offset from the most stable computed form: 30 kJ/mol of formula units
Fermi-level density of states: 1.276 states/eV/atom
Total magnetization: 0.0000 μB per atom
E: -0.4622 Ry/atom
Theoretical density: 11.18 g/cm³



No. 2
The following is a PBE calculation of crystalline TaW2Au at its relaxed geometry, from Alexandria.

Cell lengths 5.136, 5.136, 5.136 Å; angles 139.28, 128.71, 67.47 degrees
Atoms (fractional coordinates):
Au1 0.502 0.502 0.000
Ta1 0.241 0.741 0.500
W1 0.995 0.995 0.000
W2 0.763 0.263 0.500

Calculated values
Calculated formation energy: 0.21 eV/atom
Offset from the most stable computed form: 43 kJ/mol of formula units
Fermi-level density of states: 0.574 states/eV/atom
Total magnetization: 0.0000 μB per atom
E: -0.7387 Ry/atom
Theoretical density: 18.25 g/cm³



No. 3
The following is a PBE calculation of crystalline RbFe2PtI at its relaxed geometry, from Alexandria.

Cell lengths 4.925, 5.943, 4.925 Å; angles 90.00, 90.00, 90.00 degrees
Atoms (fractional coordinates):
I1 0.000 0.500 0.000
Rb1 0.500 0.500 0.500
Pt1 0.000 0.000 0.000
Fe1 0.000 0.000 0.500
Fe2 0.500 0.000 0.000

Calculated values
Energy relative to the elements, uncorrected: 2.77 eV/f.u.
Fermi-level density of states: 1.898 states/eV/atom
Total magnetization: 1.4197 μB per atom
E: -0.3339 Ry/atom
Theoretical density: 5.98 g/cm³



No. 4
The following is a PBE calculation of crystalline GaReP2S at its relaxed geometry, from Alexandria.

Cell lengths 4.628, 4.372, 4.628 Å; angles 90.00, 90.00, 90.00 degrees
Atoms (fractional coordinates):
Re1 0.000 0.500 0.000
S1 0.000 0.000 0.000
Ga1 0.500 0.500 0.500
P1 0.000 0.000 0.500
P2 0.500 0.000 0.000

Calculated values
Energy relative to the elements, uncorrected: 6.09 eV/f.u.
Offset from the most stable computed form: 370 kJ/mol of formula units
Fermi-level density of states: 0.653 states/eV/atom
Total magnetization: 0.0000 μB per atom
E: -0.3577 Ry/atom
Theoretical density: 6.20 g/cm³



No. 5
The following is a PBE calculation of crystalline Sc2Pa2Se7 at its relaxed geometry, from Alexandria.

Cell lengths 9.383, 9.383, 9.383 Å; angles 60.00, 60.00, 60.00 degrees
Atoms (fractional coordinates):
Sc1 0.625 0.125 0.125
Sc2 0.125 0.625 0.125
Sc3 0.125 0.125 0.625
Sc4 0.125 0.125 0.125
Pa1 0.625 0.625 0.625
Pa2 0.625 0.625 0.125
Pa3 0.625 0.125 0.625
Pa4 0.125 0.625 0.625
Se1 0.227 0.227 0.773
Se2 0.227 0.773 0.227
Se3 0.477 0.023 0.477
Se4 0.477 0.477 0.023
Se5 0.750 0.750 0.750
Se6 0.773 0.227 0.227
Se7 0.477 0.023 0.023
Se8 0.023 0.477 0.477
Se9 0.023 0.023 0.477
Se10 0.023 0.477 0.023
Se11 0.227 0.773 0.773
Se12 0.500 0.500 0.500
Se13 0.773 0.227 0.773
Se14 0.773 0.773 0.227

Calculated values
Energy relative to the elements, uncorrected: -14.93 eV/f.u.
Offset from the most stable computed form: 0 kJ/mol of formula units
Fermi-level density of states: 1.091 states/eV/atom
Total magnetization: 0.1831 μB per atom
E: -0.4743 Ry/atom
Theoretical density: 6.28 g/cm³



No. 6
The following is a PBE calculation of crystalline MnNbRh at its relaxed geometry, from Alexandria.

Cell lengths 3.189, 3.189, 5.059 Å; angles 108.38, 108.38, 90.00 degrees
Atoms (fractional coordinates):
Nb1 0.949 0.949 0.898
Mn1 0.284 0.284 0.568
Rh1 0.617 0.617 0.234

Calculated values
Calculated formation energy: -0.18 eV/atom
Fermi-level density of states: 0.611 states/eV/atom
Total magnetization: 1.0958 μB per atom
E: -0.6650 Ry/atom
Theoretical density: 9.04 g/cm³



No. 7
The following is a PBE calculation of crystalline Tc2SnF at its relaxed geometry, from Alexandria.

Cell lengths 4.489, 4.489, 4.489 Å; angles 60.00, 60.00, 60.00 degrees
Atoms (fractional coordinates):
F1 0.000 0.000 0.000
Sn1 0.500 0.500 0.500
Tc1 0.250 0.250 0.250
Tc2 0.750 0.750 0.750

Calculated values
Energy relative to the elements, uncorrected: 1.29 eV/f.u.
Offset from the most stable computed form: 18 kJ/mol of formula units
Fermi-level density of states: 0.899 states/eV/atom
Total magnetization: 0.9418 μB per atom
E: -0.4651 Ry/atom
Theoretical density: 8.66 g/cm³



No. 8
The following is a PBE calculation of crystalline Ce5Al2Ge4 at its relaxed geometry, from Alexandria.

Cell lengths 4.113, 6.879, 10.362 Å; angles 109.54, 101.45, 90.00 degrees
Atoms (fractional coordinates):
Ce1 0.159 0.954 0.317
Ce2 0.841 0.046 0.683
Ce3 0.159 0.362 0.318
Ce4 0.500 0.000 0.000
Ce5 0.841 0.638 0.682
Al1 0.572 0.571 0.145
Al2 0.428 0.429 0.855
Ge1 0.704 0.704 0.408
Ge2 0.999 0.691 0.999
Ge3 0.296 0.296 0.592
Ge4 0.001 0.309 0.001

Calculated values
Calculated formation energy: -0.38 eV/atom
Fermi-level density of states: 1.999 states/eV/atom
Total magnetization: 0.2768 μB per atom
E: -0.3995 Ry/atom
Theoretical density: 6.43 g/cm³



No. 9
The following is a PBE calculation of crystalline RbPd2Se2 at its relaxed geometry, from Alexandria.

Cell lengths 8.416, 8.416, 3.110 Å; angles 90.00, 90.00, 90.00 degrees
Atoms (fractional coordinates):
Se1 0.351 0.851 0.000
Se2 0.851 0.649 0.000
Se3 0.649 0.149 0.000
Se4 0.149 0.351 0.000
Rb1 0.000 0.000 0.000
Rb2 0.500 0.500 0.000
Pd1 0.182 0.682 0.500
Pd2 0.682 0.818 0.500
Pd3 0.818 0.318 0.500
Pd4 0.318 0.182 0.500

Calculated values
Energy relative to the elements, uncorrected: -0.81 eV/f.u.
Offset from the most stable computed form: 162 kJ/mol of formula units
Fermi-level density of states: 0.431 states/eV/atom
Total magnetization: 0.0000 μB per atom
E: -0.2813 Ry/atom
Theoretical density: 6.88 g/cm³



No. 10
The following is a PBE calculation of crystalline TlInOs2 at its relaxed geometry, from Alexandria.

Cell lengths 4.578, 3.013, 5.517 Å; angles 91.77, 90.00, 90.00 degrees
Atoms (fractional coordinates):
In1 0.500 0.750 0.750
Os1 0.000 0.058 0.953
Os2 0.000 0.442 0.547
Tl1 0.500 0.250 0.250

Calculated values
Calculated formation energy: 0.92 eV/atom
Offset from the most stable computed form: 193 kJ/mol of formula units
Fermi-level density of states: 1.036 states/eV/atom
Total magnetization: 0.0002 μB per atom
E: -0.4391 Ry/atom
Theoretical density: 15.28 g/cm³



No. 11
The following is a PBE calculation of crystalline YCd2OsN at its relaxed geometry, from Alexandria.

Cell lengths 5.922, 3.988, 5.922 Å; angles 90.00, 90.00, 90.00 degrees
Atoms (fractional coordinates):
Y1 0.000 0.000 0.000
N1 0.000 0.500 0.000
Os1 0.500 0.500 0.500
Cd1 0.000 0.000 0.500
Cd2 0.500 0.000 0.000

Calculated values
Energy relative to the elements, uncorrected: 8.09 eV/f.u.
Fermi-level density of states: 0.941 states/eV/atom
Total magnetization: 0.6749 μB per atom
E: -0.2904 Ry/atom
Theoretical density: 6.15 g/cm³



No. 12
The following is a PBE calculation of crystalline Ta2SiTc at its relaxed geometry, from Alexandria.

Cell lengths 5.108, 5.108, 5.108 Å; angles 141.76, 128.93, 65.56 degrees
Atoms (fractional coordinates):
Si1 0.750 0.250 0.500
Ta1 0.006 0.006 0.000
Ta2 0.494 0.494 0.000
Tc1 0.250 0.750 0.500

Calculated values
Energy relative to the elements, uncorrected: -1.09 eV/f.u.
Fermi-level density of states: 0.731 states/eV/atom
Total magnetization: 0.0000 μB per atom
E: -0.7457 Ry/atom
Theoretical density: 12.81 g/cm³



No. 13
The following is a PBE calculation of crystalline TaIn2Tc at its relaxed geometry, from Alexandria.

Cell lengths 5.460, 5.460, 4.890 Å; angles 69.71, 69.71, 34.81 degrees
Atoms (fractional coordinates):
In1 0.017 0.017 0.970
In2 0.239 0.239 0.273
Ta1 0.471 0.471 0.514
Tc1 0.773 0.773 0.744

Calculated values
Calculated formation energy: 0.21 eV/atom
Offset from the most stable computed form: 52 kJ/mol of formula units
Fermi-level density of states: 0.565 states/eV/atom
Total magnetization: 0.0000 μB per atom
E: -0.4932 Ry/atom
Theoretical density: 10.89 g/cm³



No. 14
The following is a PBE calculation of crystalline AgSb2TePt at its relaxed geometry, from Alexandria.

Cell lengths 5.195, 5.195, 5.592 Å; angles 90.00, 90.00, 90.00 degrees
Atoms (fractional coordinates):
Sb1 0.000 0.500 0.000
Sb2 0.500 0.000 0.000
Te1 0.000 0.000 0.500
Ag1 0.500 0.500 0.500
Pt1 0.000 0.000 0.000

Calculated values
Energy relative to the elements, uncorrected: 2.31 eV/f.u.
Offset from the most stable computed form: 0 kJ/mol of formula units
Fermi-level density of states: 0.606 states/eV/atom
Total magnetization: 0.0000 μB per atom
E: -0.2641 Ry/atom
Theoretical density: 7.42 g/cm³



No. 15
The following is a PBE calculation of crystalline NdYInPd at its relaxed geometry, from Alexandria.

Cell lengths 5.252, 5.252, 5.252 Å; angles 60.00, 60.00, 60.00 degrees
Atoms (fractional coordinates):
Y1 0.500 0.500 0.500
Nd1 0.000 0.000 0.000
Pd1 0.250 0.250 0.250
In1 0.750 0.750 0.750

Calculated values
Calculated formation energy: -0.57 eV/atom
Fermi-level density of states: 0.877 states/eV/atom
Total magnetization: 0.0000 μB per atom
E: -0.3939 Ry/atom
Theoretical density: 7.36 g/cm³



No. 16
The following is a PBE calculation of crystalline CeNd2Dy5Y at its relaxed geometry, from Alexandria.

Cell lengths 8.593, 8.593, 9.930 Å; angles 115.64, 115.64, 90.00 degrees
Atoms (fractional coordinates):
Ce1 0.250 0.750 0.500
Ce2 0.750 0.250 0.500
Nd1 0.121 0.379 0.000
Nd2 0.621 0.121 0.000
Nd3 0.379 0.879 0.000
Nd4 0.879 0.621 0.000
Dy1 0.938 0.438 0.283
Dy2 0.655 0.155 0.717
Dy3 0.062 0.562 0.717
Dy4 0.155 0.062 0.717
Dy5 0.562 0.655 0.717
Dy6 0.845 0.938 0.283
Dy7 0.438 0.345 0.283
Dy8 0.345 0.845 0.283
Dy9 0.500 0.500 0.000
Dy10 0.000 0.000 0.000
Y1 0.250 0.250 0.500
Y2 0.750 0.750 0.500

Calculated values
Calculated formation energy: 0.27 eV/atom
Fermi-level density of states: 1.707 states/eV/atom
Total magnetization: 0.1020 μB per atom
E: -0.3475 Ry/atom
Theoretical density: 7.62 g/cm³